VASP calculation (GGA-PBEsol) on a geometry-optimized InAu5 structure.

Properties
Formation enthalpy at 0 K = 30 meV/atom
Fermi-level density of states = 1.95 states/eV per cell
VASP energy = -22.424 eV/cell

a b c (Å): 4.642 5.440 5.440
angles (deg): 120.00 90.00 90.00
Fractional coordinates of all 6 atoms:
Au (0.500, 0.500, 0.500)
Au (0.000, 0.667, 0.333)
Au (0.000, 0.333, 0.667)
Au (0.500, 0.000, 0.500)
Au (0.500, 0.500, 0.000)
In (0.000, 0.000, 0.000)